A plane-wave DFT calculation with GGA-PBE was carried out for a relaxed Ac6Ga3Ni crystal.

Geometry as POSCAR:
```
Ac6Ga3Ni
1.0
6.988 4.035 4.342
-6.988 4.035 4.342
0.000 -8.070 4.342
Ac Ga Ni
12 6 2
Cartesian
-6.300 -1.624 7.165
-1.743 -6.268 5.861
-2.629 -0.411 5.125
-4.557 4.644 5.861
1.670 -2.071 5.125
-0.959 -2.482 7.901
0.959 2.482 5.125
-1.670 2.071 7.901
4.557 -4.644 7.165
2.629 0.411 7.901
1.743 6.268 7.165
6.300 1.624 5.861
-1.201 -3.399 4.586
-2.343 2.739 4.586
-3.544 -0.660 8.440
3.544 0.660 4.586
2.343 -2.739 8.440
1.201 3.399 8.440
0.000 0.000 0.000
0.000 0.000 6.513
```

V, A^3/atom: 36.7
ΔH_f (0 K), kcal/mol of atoms: -4.17
Space-group type: R-3, No. 148
DOS(E_F), states/eV/cell: 27.30
VASP energy, eV per atom: -4.132

***

A plane-wave DFT calculation with GGA-PBE was carried out for a relaxed LuMgTlBi crystal.

Geometry as POSCAR:
```
LuMgTlBi
1.0
0.000 3.775 3.775
3.775 0.000 3.775
3.775 3.775 0.000
Lu Mg Tl Bi
1 1 1 1
Cartesian
0.000 0.000 0.000
3.775 3.775 3.775
1.888 1.888 1.888
5.663 5.663 5.663
```

V, A^3/atom: 26.9
ΔH_f (0 K), kcal/mol of atoms: -4.02
Space-group type: F-43m, No. 216
DOS(E_F), states/eV/cell: 2.92
VASP energy, eV per atom: -3.265